First-principles (PBE+U) data for an optimized crystal structure of RbCrPdF6, as listed in the Alexandria database.

Computed properties:
ρ: 3.7 g cm⁻³
symmetry: No. 5
final energy: -5.0179 eV/atom

Lattice parameters (Å, degrees): 5.6092 5.6175 5.9364 90.05 90.13 60.02
With the nearest neighbours (Å) after each atom.
Fractional positions:
F: 0.6462 0.9653 0.3157  1 Cr 1.96
F: 0.6477 0.3880 0.6843  1 Cr 1.96
F: 0.3884 0.9651 0.6843  1 Cr 1.96
F: 0.9661 0.6471 0.6836  1 Cr 1.96
F: 0.3870 0.6469 0.3162  1 Cr 1.96
F: 0.9642 0.3881 0.3157  1 Cr 1.96
Rb: 0.0000 0.0000 0.0001  6 F 2.80-2.81
Pd: 0.3335 0.3329 0.5000  6 F 2.22
Cr: 0.6666 0.6667 0.5000  6 F 1.96